Computed, not measured: BeSb3Rh after structural relaxation at the PBE-GGA level of DFT.

Space-group type = Pm-3m
Total DFT energy (no corrections) = -19.5 eV per cell
E_form (uncorrected) = 0.779 eV per atom
Polymorph energy (0 for the lowest one) = 0.117 eV/atom
Density of states at the Fermi level = 4.22 states/eV/f.u.

Cell lengths 5.145, 5.145, 5.145 Å; angles 90.00, 90.00, 90.00 degrees
Element x y z (fractional)
Sb (0.000, 0.500, 0.000)
Sb (0.000, 0.000, 0.500)
Sb (0.500, 0.000, 0.000)
Rh (0.000, 0.000, 0.000)
Be (0.500, 0.500, 0.500)